No. 1
VASP calculation (GGA-PBE) on LaYTiN3 after structural relaxation.

The structure in POSCAR format:
```
LaYTiN3
1.0
-1.037 -3.427 0.308
5.643 -1.299 4.545
-5.434 2.111 5.197
N Ti Y La
6 2 2 2
Direct
0.750 0.407 0.141
0.750 0.885 0.151
0.250 0.832 0.476
0.250 0.593 0.859
0.750 0.168 0.524
0.250 0.115 0.849
0.250 0.102 0.599
0.750 0.898 0.401
0.750 0.363 0.844
0.250 0.637 0.156
0.250 0.178 0.177
0.750 0.822 0.823
```

The calculation puts the uncorrected formation energy at -1.33 eV per atom. Its crystal system is monoclinic. The value obtained for the total magnetization is 0.000 μB/atom.

---

No. 2
VASP calculation (GGA-PBE) on TaGeNO2 after structural relaxation.

The structure in POSCAR format:
```
TaGeNO2
1.0
3.954 0.000 0.000
0.000 3.954 0.000
0.000 0.000 4.170
O Ta Ge N
2 1 1 1
Direct
0.000 0.500 0.000
0.500 0.000 0.000
0.000 0.000 0.000
0.500 0.500 0.500
0.000 0.000 0.500
```

The calculation puts the uncorrected formation energy at -1.25 eV per atom. Its crystal system is tetragonal. The value obtained for the total magnetization is 0.000 μB/atom.

---

No. 3
VASP calculation (GGA-PBE) on MnPt3N after structural relaxation.

The structure in POSCAR format:
```
MnPt3N
1.0
-1.166 -0.092 -4.024
2.017 -3.639 -0.501
-3.484 -2.076 1.057
Mn Pt N
1 3 1
Direct
0.500 0.500 0.500
0.000 0.500 0.000
0.500 0.000 0.000
0.000 0.000 0.500
0.000 0.000 0.000
```

The calculation puts the uncorrected formation energy at 0.39 eV per atom. Its crystal system is cubic. The value obtained for the total magnetization is 0.987 μB/atom.

---

No. 4
VASP calculation (GGA-PBE) on ScHg after structural relaxation.

The structure in POSCAR format:
```
ScHg
1.0
5.011 -0.064 0.020
-3.271 5.556 0.025
0.000 1.035 3.255
Sc Hg
2 2
Direct
0.453 0.988 0.506
0.631 0.512 0.744
0.982 0.015 0.993
0.101 0.485 0.257
```

Its crystal system is monoclinic. The calculation puts the total energy at -3.630 eV/atom. The value obtained for the total magnetization is 0.000 μB/atom.

---

No. 5
VASP calculation (GGA-PBE) on LaHg2Sb after structural relaxation.

The structure in POSCAR format:
```
LaHg2Sb
1.0
-3.520 1.209 -0.361
-0.936 -1.573 3.849
1.767 6.007 2.885
Sb Hg La
1 2 1
Direct
0.500 0.500 0.750
0.000 0.000 0.516
0.000 0.000 0.984
0.500 0.500 0.250
```

The calculation puts the uncorrected formation energy at -0.36 eV per atom. Its crystal system is orthorhombic. The value obtained for the total magnetization is 0.056 μB/atom.

---

No. 6
VASP calculation (GGA-PBE) on MgSbRh2 after structural relaxation.

The structure in POSCAR format:
```
MgSbRh2
1.0
4.978 -1.625 -2.876
-1.485 5.021 2.876
-3.472 0.077 4.861
Sb Rh Mg
1 2 1
Direct
0.000 0.500 0.500
0.000 0.255 0.255
0.000 0.745 0.745
0.000 0.000 0.000
```

The calculation puts the uncorrected formation energy at 0.30 eV per atom. Its crystal system is orthorhombic. The value obtained for the total magnetization is 0.000 μB/atom.

---

No. 7
VASP calculation (GGA-PBE) on SnP3H after structural relaxation.

The structure in POSCAR format:
```
SnP3H
1.0
-1.129 -3.888 -1.156
3.820 -1.423 1.053
-1.363 -0.767 3.909
H P Sn
1 3 1
Direct
0.000 0.000 0.000
0.000 0.500 0.000
0.000 0.000 0.500
0.500 0.000 0.000
0.500 0.500 0.500
```

Its crystal system is cubic. The calculation puts the total energy at -3.935 eV/atom. The value obtained for the total magnetization is 0.000 μB/atom.

---

No. 8
VASP calculation (GGA-PBE) on LuNbCo after structural relaxation.

The structure in POSCAR format:
```
LuNbCo
1.0
3.182 0.000 0.000
0.000 3.182 0.000
-1.591 -1.591 5.409
Lu Nb Co
1 1 1
Direct
0.326 0.326 0.652
0.027 0.027 0.055
0.647 0.647 0.293
```

Its crystal system is tetragonal. The calculation puts the total energy at -7.236 eV/atom. The value obtained for the total magnetization is 0.352 μB/atom.